1.
{
  "formula": "Nd3CuNi8",
  "functional": "PBE-GGA",
  "state": "optimized geometry",
  "lattice": [[5.045, 0.000, 0.000], [2.523, 4.369, 0.000], [2.523, 1.456, 8.302]],
  "species": ["Ni", "Ni", "Ni", "Ni", "Ni", "Ni", "Ni", "Ni", "Nd", "Nd", "Nd", "Cu"],
  "fractional_positions": [[0.445, 0.938, 0.679], [0.940, 0.435, 0.190], [0.435, 0.435, 0.190], [0.189, 0.189, 0.434], [0.938, 0.445, 0.679], [0.435, 0.940, 0.190], [0.938, 0.938, 0.679], [0.688, 0.688, 0.936], [0.989, 0.989, 0.034], [0.378, 0.378, 0.866], [0.508, 0.508, 0.477], [0.868, 0.868, 0.397]],
  "crystal_system": "trigonal",
  "ef_mev_per_atom": -272,
  "n_ef_per_ev_atom": 0.834
}



2.
{
  "formula": "Nd2Cu3Ni",
  "functional": "PBE-GGA",
  "state": "optimized geometry",
  "lattice": [[3.826, 0.000, 0.000], [0.000, 4.190, 0.000], [0.000, 0.000, 7.357]],
  "species": ["Nd", "Nd", "Cu", "Cu", "Cu", "Ni"],
  "fractional_positions": [[0.000, 0.500, 0.010], [0.000, 0.000, 0.492], [0.500, 0.500, 0.663], [0.500, 0.000, 0.168], [0.500, 0.000, 0.835], [0.500, 0.500, 0.333]],
  "crystal_system": "orthorhombic",
  "ef_mev_per_atom": -237,
  "n_ef_per_ev_atom": 0.782
}



3.
{
  "formula": "Nd8Cu2Ni",
  "functional": "PBE-GGA",
  "state": "optimized geometry",
  "lattice": [[5.166, 0.000, 0.000], [0.000, 6.858, 0.411], [-2.583, -2.448, 8.570]],
  "species": ["Ni", "Nd", "Nd", "Nd", "Nd", "Nd", "Nd", "Nd", "Nd", "Cu", "Cu"],
  "fractional_positions": [[0.500, 0.000, 0.000], [0.800, 0.664, 0.599], [0.200, 0.336, 0.401], [0.412, 0.556, 0.823], [0.663, 0.973, 0.326], [0.337, 0.027, 0.674], [0.588, 0.444, 0.177], [0.969, 0.215, 0.938], [0.031, 0.785, 0.062], [0.190, 0.744, 0.381], [0.810, 0.256, 0.619]],
  "polymorph_energy_kj_per_mol_atoms": 0.0,
  "crystal_system": "monoclinic",
  "ef_mev_per_atom": -68,
  "n_ef_per_ev_atom": 1.022
}



4.
{
  "formula": "Nd3Cu4Ni4",
  "functional": "PBE-GGA",
  "state": "optimized geometry",
  "lattice": [[-0.530, -0.154, -6.322], [2.491, -5.465, 2.048], [-5.739, 0.808, 2.585]],
  "species": ["Ni", "Ni", "Ni", "Ni", "Cu", "Cu", "Cu", "Cu", "Nd", "Nd", "Nd"],
  "fractional_positions": [[0.000, 0.000, 0.601], [0.399, 0.399, 0.399], [0.601, 0.000, 0.000], [0.000, 0.601, 0.000], [0.000, 0.241, 0.000], [0.241, 0.000, 0.000], [0.759, 0.759, 0.759], [0.000, 0.000, 0.241], [0.500, 0.000, 0.500], [0.500, 0.500, 0.000], [0.000, 0.500, 0.500]],
  "crystal_system": "cubic",
  "ef_mev_per_atom": -96,
  "n_ef_per_ev_atom": 0.777
}



5.
{
  "formula": "NdCu11Ni",
  "functional": "PBE-GGA",
  "state": "optimized geometry",
  "lattice": [[-2.456, -3.970, 1.298], [2.378, -2.854, 5.340], [-4.892, 1.408, 4.094]],
  "species": ["Nd", "Cu", "Cu", "Cu", "Cu", "Cu", "Cu", "Cu", "Cu", "Cu", "Cu", "Cu", "Ni"],
  "fractional_positions": [[0.000, 0.000, 0.000], [0.271, 0.228, 0.227], [0.729, 0.772, 0.773], [0.015, 0.642, 0.353], [0.501, 0.772, 0.227], [0.000, 0.000, 0.500], [0.000, 0.500, 0.000], [0.631, 0.358, 0.353], [0.499, 0.228, 0.773], [0.985, 0.358, 0.647], [0.500, 0.000, 0.500], [0.369, 0.642, 0.647], [0.500, 0.500, 0.000]],
  "crystal_system": "monoclinic",
  "ef_mev_per_atom": -80,
  "n_ef_per_ev_atom": 0.335
}



6.
{
  "formula": "Nd3CuNi",
  "functional": "PBE-GGA",
  "state": "optimized geometry",
  "lattice": [[5.937, 0.021, 2.006], [2.205, 5.512, 2.006], [-0.014, -0.010, 7.875]],
  "species": ["Nd", "Nd", "Nd", "Nd", "Nd", "Nd", "Ni", "Ni", "Cu", "Cu"],
  "fractional_positions": [[0.691, 0.691, 0.667], [0.993, 0.993, 0.240], [0.007, 0.007, 0.760], [0.309, 0.309, 0.333], [0.690, 0.690, 0.144], [0.310, 0.310, 0.856], [0.689, 0.311, 0.000], [0.311, 0.689, 0.000], [0.689, 0.311, 0.500], [0.311, 0.689, 0.500]],
  "crystal_system": "monoclinic",
  "ef_mev_per_atom": -153,
  "n_ef_per_ev_atom": 1.242
}



7.
{
  "formula": "NdCu5Ni2",
  "functional": "PBE-GGA",
  "state": "optimized geometry",
  "lattice": [[-2.174, -2.907, -1.022], [-0.813, -3.502, 4.734], [-5.533, 1.018, 1.918]],
  "species": ["Ni", "Ni", "Cu", "Cu", "Cu", "Cu", "Cu", "Nd"],
  "fractional_positions": [[0.268, 0.232, 0.232], [0.732, 0.768, 0.768], [0.348, 0.829, 0.475], [0.348, 0.475, 0.829], [0.652, 0.525, 0.171], [0.652, 0.171, 0.525], [0.000, 0.500, 0.500], [0.000, 0.000, 0.000]],
  "crystal_system": "orthorhombic",
  "ef_mev_per_atom": -37,
  "n_ef_per_ev_atom": 0.487
}



8.
{
  "formula": "Nd2CuNi",
  "functional": "PBE-GGA",
  "state": "optimized geometry",
  "lattice": [[-1.556, 1.554, 3.299], [-3.027, -1.813, 1.809], [4.172, -4.736, 6.582]],
  "species": ["Cu", "Nd", "Nd", "Ni"],
  "fractional_positions": [[0.000, 0.000, 0.000], [0.892, 0.892, 0.325], [0.108, 0.108, 0.675], [0.500, 0.500, 0.500]],
  "crystal_system": "trigonal",
  "ef_mev_per_atom": 336,
  "n_ef_per_ev_atom": 0.624
}



9.
{
  "formula": "Nd3Cu2Ni3",
  "functional": "PBE-GGA",
  "state": "optimized geometry",
  "lattice": [[5.560, 0.000, 0.000], [0.000, 7.392, 0.000], [0.000, 0.000, 15.112]],
  "species": ["Nd", "Nd", "Nd", "Nd", "Nd", "Nd", "Nd", "Nd", "Nd", "Nd", "Nd", "Nd", "Ni", "Ni", "Ni", "Ni", "Ni", "Ni", "Ni", "Ni", "Ni", "Ni", "Ni", "Ni", "Cu", "Cu", "Cu", "Cu", "Cu", "Cu", "Cu", "Cu"],
  "fractional_positions": [[0.860, 0.532, 0.897], [0.640, 0.032, 0.897], [0.383, 0.669, 0.750], [0.883, 0.831, 0.250], [0.360, 0.968, 0.103], [0.360, 0.968, 0.397], [0.860, 0.532, 0.603], [0.117, 0.169, 0.750], [0.140, 0.468, 0.103], [0.640, 0.032, 0.603], [0.140, 0.468, 0.397], [0.617, 0.331, 0.250], [0.085, 0.171, 0.533], [0.085, 0.171, 0.967], [0.609, 0.314, 0.750], [0.915, 0.829, 0.467], [0.109, 0.186, 0.250], [0.915, 0.829, 0.033], [0.891, 0.814, 0.750], [0.585, 0.329, 0.033], [0.585, 0.329, 0.467], [0.415, 0.671, 0.967], [0.415, 0.671, 0.533], [0.391, 0.686, 0.250], [0.862, 0.123, 0.107], [0.862, 0.123, 0.393], [0.362, 0.377, 0.893], [0.638, 0.623, 0.393], [0.638, 0.623, 0.107], [0.138, 0.877, 0.607], [0.362, 0.377, 0.607], [0.138, 0.877, 0.893]],
  "crystal_system": "orthorhombic",
  "ef_mev_per_atom": -243,
  "n_ef_per_ev_atom": 0.515
}



10.
{
  "formula": "NdCu10Ni2",
  "functional": "PBE-GGA",
  "state": "optimized geometry",
  "lattice": [[4.849, 0.000, 0.000], [2.425, 5.978, 0.000], [2.425, 0.000, 6.004]],
  "species": ["Cu", "Cu", "Cu", "Cu", "Cu", "Cu", "Cu", "Cu", "Cu", "Cu", "Ni", "Ni", "Nd"],
  "fractional_positions": [[0.727, 0.772, 0.775], [0.273, 0.228, 0.225], [0.501, 0.772, 0.225], [0.004, 0.641, 0.350], [0.355, 0.641, 0.650], [0.500, 0.000, 0.500], [0.000, 0.000, 0.500], [0.499, 0.228, 0.775], [0.996, 0.359, 0.650], [0.645, 0.359, 0.350], [0.500, 0.500, 0.000], [0.000, 0.500, 0.000], [0.000, 0.000, 0.000]],
  "crystal_system": "orthorhombic",
  "ef_mev_per_atom": -84,
  "n_ef_per_ev_atom": 0.499
}



11.
{
  "formula": "Nd2CuNi10",
  "functional": "PBE-GGA",
  "state": "optimized geometry",
  "lattice": [[-4.304, -2.719, -0.402], [4.423, -0.917, 6.049], [-5.544, 7.996, 5.266]],
  "species": ["Ni", "Ni", "Ni", "Ni", "Ni", "Ni", "Ni", "Ni", "Ni", "Ni", "Ni", "Ni", "Ni", "Ni", "Ni", "Ni", "Ni", "Ni", "Ni", "Ni", "Nd", "Nd", "Nd", "Nd", "Cu", "Cu"],
  "fractional_positions": [[0.830, 0.980, 0.324], [0.329, 0.881, 0.836], [0.272, 0.722, 0.337], [0.898, 0.137, 0.812], [0.102, 0.363, 0.312], [0.898, 0.637, 0.688], [0.102, 0.863, 0.188], [0.728, 0.778, 0.837], [0.329, 0.381, 0.664], [0.671, 0.619, 0.336], [0.170, 0.020, 0.676], [0.011, 0.830, 0.488], [0.170, 0.520, 0.824], [0.989, 0.170, 0.512], [0.011, 0.330, 0.012], [0.989, 0.670, 0.988], [0.671, 0.119, 0.164], [0.830, 0.480, 0.176], [0.728, 0.278, 0.663], [0.272, 0.222, 0.163], [0.479, 0.688, 0.102], [0.521, 0.312, 0.898], [0.479, 0.188, 0.398], [0.521, 0.812, 0.602], [0.000, 0.000, 0.000], [0.000, 0.500, 0.500]],
  "crystal_system": "monoclinic",
  "ef_mev_per_atom": -34,
  "n_ef_per_ev_atom": 1.614
}



12.
{
  "formula": "Nd2Cu6Ni9",
  "functional": "PBE-GGA",
  "state": "optimized geometry",
  "lattice": [[4.968, 0.000, 0.000], [-2.484, 4.302, 0.000], [0.000, 0.000, 11.932]],
  "species": ["Cu", "Cu", "Cu", "Cu", "Cu", "Cu", "Nd", "Nd", "Ni", "Ni", "Ni", "Ni", "Ni", "Ni", "Ni", "Ni", "Ni"],
  "fractional_positions": [[0.667, 0.333, 0.666], [0.667, 0.333, 0.000], [0.333, 0.667, 0.334], [0.333, 0.667, 0.000], [0.333, 0.667, 0.666], [0.667, 0.333, 0.334], [0.000, 0.000, 0.683], [0.000, 0.000, 0.317], [0.000, 0.500, 0.833], [0.000, 0.500, 0.167], [0.500, 0.000, 0.500], [0.500, 0.500, 0.167], [0.500, 0.000, 0.167], [0.500, 0.000, 0.833], [0.500, 0.500, 0.500], [0.500, 0.500, 0.833], [0.000, 0.500, 0.500]],
  "crystal_system": "hexagonal",
  "ef_mev_per_atom": -7,
  "n_ef_per_ev_atom": 1.008
}